(1)
Material: K2LiPb
Method: DFT, PBE-GGA
State: relaxed

Properties
The calculation puts the density of states at the Fermi level at 4.560 states/eV/f.u. The total energy is -29.6 eV/cell. The formation energy is 0.1050 eV per atom.

a = 9.8519 Å, b = 9.8519 Å, c = 6.1565 Å
α = 90.00°, β = 90.00°, γ = 90.00°
Closest atoms and distances in Å follow each position.
Space group I-42d (No. 122)
Unique sites:
K (0.2104, 0.7500, 0.1250) (multiplicity 8)  2 K 3.18, 2 Li 3.31
Li (0.0000, 0.0000, 0.0000) (multiplicity 4)  2 Pb 3.08, 4 K 3.31
Pb (0.0000, 0.0000, 0.5000) (multiplicity 4)  2 Li 3.08



(2)
Material: HoPuInCl6
Method: DFT, PBE-GGA
State: relaxed

Properties
The value obtained for the formation energy without anion corrections is -1.790 eV/atom. The calculation puts the density of states at the Fermi level at 15.540 states/eV/f.u. The total energy is -97.7 eV/cell.

a = 7.1576 Å, b = 7.1576 Å, c = 13.8340 Å
α = 90.00°, β = 90.00°, γ = 120.00°
Closest atoms and distances in Å follow each position.
Space group P-31c (No. 163)
Unique sites:
Ho (0.3333, 0.6667, 0.2500) (multiplicity 2)  6 Cl 2.66
Pu (0.3333, 0.6667, 0.7500) (multiplicity 2)  6 Cl 2.83
In (0.0000, 0.0000, 0.0000) (multiplicity 2)  6 Cl 3.26
Cl (0.0192, 0.3762, 0.1393) (multiplicity 12)  1 Ho 2.66, 1 Pu 2.83



(3)
Material: Hf2UAg
Method: DFT, PBE-GGA
State: relaxed

Properties
The calculation puts the density of states at the Fermi level at 6.411 states/eV/f.u. The total energy is -33.3 eV/cell. The formation energy is 0.1984 eV per atom.

a = 5.1521 Å, b = 5.1521 Å, c = 3.1029 Å
α = 90.00°, β = 90.00°, γ = 90.00°
Closest atoms and distances in Å follow each position.
Space group P4/mmm (No. 123)
Unique sites:
Hf (0.0000, 0.5000, 0.0000) (multiplicity 2)  4 Ag 3.01, 4 U 3.01, 2 Hf 3.10
U (0.0000, 0.0000, 0.5000) (multiplicity 1)  8 Hf 3.01, 2 U 3.10
Ag (0.5000, 0.5000, 0.5000) (multiplicity 1)  8 Hf 3.01, 2 Ag 3.10



(4)
Material: Pa6NiSe12
Method: DFT, PBE-GGA
State: relaxed

Properties
The value obtained for the formation energy without anion corrections is -1.172 eV/atom. The calculation puts the density of states at the Fermi level at 30.202 states/eV/f.u. The total energy is -380.5 eV/cell.

a = 12.4916 Å, b = 12.4916 Å, c = 11.2274 Å
α = 90.00°, β = 90.00°, γ = 120.00°
Closest atoms and distances in Å follow each position.
Space group R-3 (No. 148, hexagonal axes)
Unique sites:
Pa (0.0536, 0.4446, 0.3175) (multiplicity 18)  7 Se 2.85-3.02
Ni (0.0000, 0.0000, 0.0000) (multiplicity 3)  6 Se 2.54
Se (0.0365, 0.2135, 0.3910) (multiplicity 18)  4 Pa 2.86-3.02
Se (0.0478, 0.1956, 0.8886) (multiplicity 18)  1 Ni 2.54



(5)
Material: K2RbNb
Method: DFT, PBE-GGA
State: relaxed

Properties
The calculation puts the density of states at the Fermi level at 3.567 states/eV/f.u. The total energy is -34.9 eV/cell. The formation energy is 1.1296 eV per atom.

a = 9.2305 Å, b = 9.2305 Å, c = 9.2305 Å
α = 90.00°, β = 90.00°, γ = 90.00°
Closest atoms and distances in Å follow each position.
Space group Fm-3m (No. 225)
Unique sites:
K (0.2500, 0.2500, 0.2500) (multiplicity 8)  4 Nb 4.00, 4 Rb 4.00
Rb (0.0000, 0.0000, 0.0000) (multiplicity 4)  8 K 4.00
Nb (0.0000, 0.0000, 0.5000) (multiplicity 4)  8 K 4.00



(6)
Material: K2NpAlSe5
Method: DFT, PBE-GGA
State: relaxed

Properties
The value obtained for the formation energy without anion corrections is -1.045 eV/atom. The calculation puts the density of states at the Fermi level at 6.159 states/eV/f.u. The total energy is -182.8 eV/cell.

a = 4.1008 Å, b = 19.2716 Å, c = 14.3659 Å
α = 90.00°, β = 90.00°, γ = 90.00°
Closest atoms and distances in Å follow each position.
Space group Cmc2_1 (No. 36)
Unique sites:
K (0.0000, 0.1144, 0.0000) (multiplicity 4)  5 Se 3.30-3.53
K (0.0000, 0.1250, 0.6429) (multiplicity 4)  7 Se 3.28-3.63
Np (0.0000, 0.2050, 0.3439) (multiplicity 4)  6 Se 2.60-2.88
Al (0.0000, 0.4331, 0.7404) (multiplicity 4)  4 Se 2.30-2.53
Se (0.0000, 0.0556, 0.3421) (multiplicity 4)  2 Al 2.53
Se (0.0000, 0.2963, 0.9720) (multiplicity 4)  2 Np 2.76
Se (0.0000, 0.3072, 0.7067) (multiplicity 4)  1 Al 2.47
Se (0.0000, 0.3392, 0.3258) (multiplicity 4)  1 Np 2.60
Se (0.0000, 0.4953, 0.6040) (multiplicity 4)  1 Al 2.30



(7)
Material: YSc4Zn5
Method: DFT, PBE-GGA
State: relaxed

Properties
The calculation puts the density of states at the Fermi level at 9.645 states/eV/f.u. The total energy is -41.8 eV/cell. The formation energy is -0.3640 eV per atom.

a = 3.3936 Å, b = 3.3936 Å, c = 17.0115 Å
α = 90.00°, β = 90.00°, γ = 90.00°
Closest atoms and distances in Å follow each position.
Space group P4/mmm (No. 123)
Unique sites:
Y (0.0000, 0.0000, 0.0000) (multiplicity 1)  8 Zn 3.09, 4 Y 3.39
Sc (0.0000, 0.0000, 0.2081) (multiplicity 2)  8 Zn 2.88-2.91
Sc (0.0000, 0.0000, 0.4029) (multiplicity 2)  8 Zn 2.91-2.92
Zn (0.5000, 0.5000, 0.1142) (multiplicity 2)  4 Sc 2.88, 4 Y 3.09
Zn (0.5000, 0.5000, 0.3049) (multiplicity 2)  8 Sc 2.91-2.92, 1 Zn 3.24
Zn (0.5000, 0.5000, 0.5000) (multiplicity 1)  8 Sc 2.91



(8)
Material: LiU2Br8
Method: DFT, PBE-GGA
State: relaxed

Properties
The value obtained for the formation energy without anion corrections is -1.186 eV/atom. The calculation puts the density of states at the Fermi level at 18.467 states/eV/f.u. The total energy is -50.9 eV/cell.

a = 8.9814 Å, b = 8.9814 Å, c = 5.8364 Å
α = 90.00°, β = 90.00°, γ = 120.00°
Closest atoms and distances in Å follow each position.
Space group P-3 (No. 147)
Unique sites:
Li (0.0000, 0.0000, 0.0000) (multiplicity 1)  6 Br 2.86
U (0.3333, 0.6667, 0.2261) (multiplicity 2)  5 Br 2.72-2.98
Br (0.1578, 0.3174, 0.2464) (multiplicity 6)  1 U 2.72, 1 Li 2.86
Br (0.3333, 0.6667, 0.7374) (multiplicity 2)  2 U 2.85-2.98



(9)
Material: La5Pm2Sm
Method: DFT, PBE-GGA
State: relaxed

Properties
The calculation puts the density of states at the Fermi level at 11.518 states/eV/f.u. The total energy is -77.3 eV/cell. The formation energy is 0.0263 eV per atom.

a = 3.6530 Å, b = 11.4037 Å, c = 13.7377 Å
α = 90.00°, β = 90.00°, γ = 90.00°
Closest atoms and distances in Å follow each position.
Space group Immm (No. 71)
Unique sites:
La (0.0000, 0.0000, 0.0000) (multiplicity 2)  2 Pm 3.51, 10 La 3.65-3.71
La (0.0000, 0.2626, 0.3718) (multiplicity 8)  3 Pm 3.39-3.70, 5 La 3.52-3.71
Pm (0.0000, 0.0000, 0.2555) (multiplicity 4)  7 La 3.39-3.70, 2 Pm 3.65
Sm (0.0000, 0.5000, 0.0000) (multiplicity 2)  2 Sm 3.65, 4 Pm 3.82, 8 La 3.93



(10)
Material: SrCdHg3
Method: DFT, PBE-GGA
State: relaxed

Properties
The calculation puts the density of states at the Fermi level at 2.144 states/eV/f.u. The total energy is -3.9 eV/cell. The formation energy is -0.0817 eV per atom.

a = 5.5097 Å, b = 5.5097 Å, c = 5.5097 Å
α = 90.00°, β = 90.00°, γ = 90.00°
Closest atoms and distances in Å follow each position.
Space group Pm-3m (No. 221)
Unique sites:
Sr (0.0000, 0.0000, 0.0000) (multiplicity 1)  12 Hg 3.90
Cd (0.5000, 0.5000, 0.5000) (multiplicity 1)  6 Hg 2.75
Hg (0.0000, 0.5000, 0.5000) (multiplicity 3)  2 Cd 2.75